3
Lattice="-2.618 3.704 -6.671 -4.429 0.745 -6.702 -2.800 1.701 1.141" Properties=species:S:1:pos:R:3 comment="BaZrIn, relaxed, DFT PBE" delta_e_f_ev_per_atom=0.098 dos_at_fermi_per_ev_cell=2.83 pbc="T T T"
Ba -7.017 4.430 -13.269
In -4.134 2.565 -3.419
Zr -5.743 3.606 -8.918